Record 1
# Ac2Tb15Pm2

Ac2Tb15Pm2 after structural relaxation (PBE-GGA, Alexandria).

Calculated values
energy of formation	509	kJ/mol of formula units
VASP energy	-81.89	eV per cell
crystal system	trigonal

Structure (extended XYZ):
```
19
Lattice="8.645 -0.254 1.732 1.370 8.540 1.732 -0.307 -0.254 8.812" Properties=species:S:1:pos:R:3 pbc="T T T"
Ac 8.595 7.111 10.868
Ac 1.113 0.921 1.408
Tb 3.443 2.849 8.711
Tb 2.025 5.183 6.917
Tb 0.685 4.270 0.866
Tb 4.323 -0.127 0.866
Tb 4.237 7.014 5.358
Tb 0.856 5.846 3.901
Tb 0.207 2.440 6.643
Tb 3.598 5.846 1.732
Tb 6.265 5.183 3.564
Tb 2.435 -0.254 6.643
Tb -0.154 -0.127 4.406
Tb 5.470 1.018 6.917
Tb 7.683 2.849 5.358
Tb 5.903 -0.254 3.901
Tb 6.417 2.440 1.732
Pm 3.250 2.688 4.109
Pm 6.458 5.343 8.166
```

=====

Record 2
# CoCu2Te

CoCu2Te after structural relaxation (PBE-GGA, Alexandria).

Calculated values
formation energy (no corrections)	253	meV/atom
VASP energy	-17.43	eV per cell
crystal system	monoclinic

Structure (extended XYZ):
```
4
Lattice="4.533 0.006 0.015 3.020 3.381 0.015 1.360 0.610 3.813" Properties=species:S:1:pos:R:3 pbc="T T T"
Co 2.214 0.993 1.102
Cu 6.700 3.004 3.028
Cu 1.344 0.603 3.693
Te 4.472 2.005 1.754
```

=====

Record 3
# AcLaPr3Tm

AcLaPr3Tm after structural relaxation (PBE-GGA, Alexandria).

Calculated values
energy of formation	126	kJ/mol of formula units
VASP energy	-53.08	eV per cell
crystal system	monoclinic

Structure (extended XYZ):
```
12
Lattice="5.976 0.000 0.000 -2.988 10.374 1.574 0.000 -1.242 7.021" Properties=species:S:1:pos:R:3 pbc="T T T"
La 2.988 2.222 3.985
La 0.000 6.909 4.610
Ac 0.000 6.092 7.785
Ac 2.988 3.040 0.810
Tm 2.988 8.318 6.365
Tm 0.000 0.813 2.230
Pr 2.988 4.927 5.842
Pr 0.000 2.238 5.877
Pr 2.988 -0.573 5.336
Pr 0.000 4.204 2.753
Pr 2.988 6.894 2.718
Pr 0.000 9.705 3.259
```

=====

Q: Look up the VASP energy of the second one.
A: -17.43 eV per cell

=====

Please write out number 1 again, unchanged.
# Ac2Tb15Pm2

Ac2Tb15Pm2 after structural relaxation (PBE-GGA, Alexandria).

Calculated values
energy of formation	509	kJ/mol of formula units
VASP energy	-81.89	eV per cell
crystal system	trigonal

Structure (extended XYZ):
```
19
Lattice="8.645 -0.254 1.732 1.370 8.540 1.732 -0.307 -0.254 8.812" Properties=species:S:1:pos:R:3 pbc="T T T"
Ac 8.595 7.111 10.868
Ac 1.113 0.921 1.408
Tb 3.443 2.849 8.711
Tb 2.025 5.183 6.917
Tb 0.685 4.270 0.866
Tb 4.323 -0.127 0.866
Tb 4.237 7.014 5.358
Tb 0.856 5.846 3.901
Tb 0.207 2.440 6.643
Tb 3.598 5.846 1.732
Tb 6.265 5.183 3.564
Tb 2.435 -0.254 6.643
Tb -0.154 -0.127 4.406
Tb 5.470 1.018 6.917
Tb 7.683 2.849 5.358
Tb 5.903 -0.254 3.901
Tb 6.417 2.440 1.732
Pm 3.250 2.688 4.109
Pm 6.458 5.343 8.166
```

=====

Q: The lowest VASP energy belongs to which entry?
A: Ac2Tb15Pm2